Model 1:
A geometry-optimized Li2WCl structure. Source: Alexandria, functional PBE.

abc: 4.8352 9.1670 2.7957
angles: 90.00 90.00 90.00
Space group Cmmm (No. 65)
Inequivalent atoms, fractional coordinates:
Li (0.2500, 0.2500, 0.0000) [4 per cell]
W (0.0000, 0.0000, 0.5000) [2 per cell]
Cl (0.0000, 0.5000, 0.5000) [2 per cell]

## Properties
- V (Å³/atom) = 15.5
- size of the total moment (μB per cell) = 0.00

***

Model 2:
A geometry-optimized Li2WCl structure. Source: Alexandria, functional PBE.

abc: 2.9258 2.9258 8.5583
angles: 90.00 90.00 90.00
Space group P4mm (No. 99)
Inequivalent atoms, fractional coordinates:
Li (0.0000, 0.0000, 0.0000) [1 per cell]
Li (0.5000, 0.5000, 0.2064) [1 per cell]
W (0.0000, 0.0000, 0.4261) [1 per cell]
Cl (0.5000, 0.5000, 0.9143) [1 per cell]

## Properties
- V (Å³/atom) = 18.3
- size of the total moment (μB per cell) = 0.00

***

Consider the structures shown above. The least stable of them is model 1.